Entry 1:
Y2CuPd2 | PBE | relaxed

- N(E_F) (states/eV per cell) = 1.7
- space group = I4/mmm (139)
- formation energy from the elements (eV per atom) = -0.455

a = 5.405 Å, b = 5.405 Å, c = 5.458 Å
α = 60.32°, β = 60.32°, γ = 90.00°
Fractional coordinates of all 5 atoms:
Y (0.750, 0.250, 0.500)
Y (0.250, 0.750, 0.500)
Cu (0.000, 0.000, 0.000)
Pd (0.334, 0.334, 0.332)
Pd (0.666, 0.666, 0.668)

---

Entry 2:
CaAc2Dy | PBE | relaxed

- N(E_F) (states/eV per cell) = 4.8
- distance to the lowest polymorph of the same formula (eV per atom) = 0.000
- space group = R3m (160)
- formation energy from the elements (eV per atom) = 0.046

a = 3.857 Å, b = 3.857 Å, c = 12.771 Å
α = 81.31°, β = 81.31°, γ = 60.00°
Fractional coordinates of all 4 atoms:
Ca (0.500, 0.500, 0.501)
Ac (0.079, 0.079, 0.764)
Ac (0.255, 0.255, 0.236)
Dy (0.667, 0.667, 0.000)

---

Entry 3:
CdMo2Os | PBE | relaxed

- N(E_F) (states/eV per cell) = 5.3
- space group = P4mm (99)
- formation energy from the elements (eV per atom) = 0.440

a = 3.145 Å, b = 3.145 Å, c = 6.842 Å
α = 90.00°, β = 90.00°, γ = 90.00°
Fractional coordinates of all 4 atoms:
Cd (0.500, 0.500, 0.745)
Mo (0.000, 0.000, 0.031)
Mo (0.500, 0.500, 0.260)
Os (0.000, 0.000, 0.464)

---

Entry 4:
BaC3 | PBE | relaxed

- N(E_F) (states/eV per cell) = 2.2
- distance to the lowest polymorph of the same formula (eV per atom) = 2.151
- space group = R-3m (166)
- formation energy from the elements (eV per atom) = 2.416

a = 5.403 Å, b = 5.403 Å, c = 5.403 Å
α = 37.07°, β = 37.07°, γ = 37.07°
Fractional coordinates of all 4 atoms:
C (0.806, 0.806, 0.806)
C (0.500, 0.500, 0.500)
C (0.194, 0.194, 0.194)
Ba (0.000, 0.000, 0.000)

---

Entry 5:
Th8C3Se4S | PBE | relaxed

- N(E_F) (states/eV per cell) = 8.9
- formation energy from raw total energies (eV/atom) = -1.22
- space group = R-3m (166)

a = 7.885 Å, b = 8.303 Å, c = 7.885 Å
α = 118.35°, β = 120.00°, γ = 90.00°
Fractional coordinates of all 16 atoms:
Th (0.244, 0.709, 0.965)
Th (0.244, 0.709, 0.488)
Th (0.267, 0.300, 0.533)
Th (0.721, 0.709, 0.965)
Th (0.279, 0.291, 0.035)
Th (0.733, 0.700, 0.467)
Th (0.756, 0.291, 0.512)
Th (0.756, 0.291, 0.035)
C (0.500, 0.500, 0.000)
C (0.500, 0.500, 0.500)
C (0.000, 0.500, 0.500)
Se (0.500, 0.000, 0.000)
Se (0.500, 0.000, 0.500)
Se (0.000, 0.000, 0.000)
Se (0.000, 0.000, 0.500)
S (0.000, 0.500, 0.000)

---

Entry 6:
AlZn2Pt3 | PBE | relaxed

- N(E_F) (states/eV per cell) = 2.5
- distance to the lowest polymorph of the same formula (eV per atom) = 0.046
- space group = P-3m1 (164)
- formation energy from the elements (eV per atom) = -0.689

a = 4.353 Å, b = 4.353 Å, c = 5.355 Å
α = 90.00°, β = 90.00°, γ = 120.00°
Fractional coordinates of all 6 atoms:
Al (0.000, 0.000, 0.000)
Zn (0.667, 0.333, 0.344)
Zn (0.333, 0.667, 0.656)
Pt (0.000, 0.000, 0.500)
Pt (0.667, 0.333, 0.847)
Pt (0.333, 0.667, 0.153)

---

Entry 7:
Tb4Pr10Dy | PBE | relaxed

- N(E_F) (states/eV per cell) = 22.0
- space group = I4/m (87)
- formation energy from the elements (eV per atom) = 0.681

a = 7.880 Å, b = 9.647 Å, c = 9.647 Å
α = 80.40°, β = 65.90°, γ = 65.90°
Fractional coordinates of all 15 atoms:
Tb (0.399, 0.801, 0.400)
Tb (0.799, 0.600, 0.801)
Tb (0.201, 0.400, 0.199)
Tb (0.601, 0.199, 0.600)
Pr (0.250, 0.500, 0.500)
Pr (0.651, 0.300, 0.899)
Pr (0.050, 0.101, 0.300)
Pr (0.450, 0.899, 0.700)
Pr (0.850, 0.700, 0.101)
Pr (0.349, 0.700, 0.101)
Pr (0.750, 0.500, 0.500)
Pr (0.150, 0.300, 0.899)
Pr (0.550, 0.101, 0.300)
Pr (0.950, 0.899, 0.700)
Dy (0.000, 0.000, 0.000)

---

Entry 8:
AcDy3Te6 | PBE | relaxed

- formation energy from raw total energies (eV/atom) = -1.45
- space group = P2_1/m (11)

a = 4.475 Å, b = 12.611 Å, c = 12.967 Å
α = 109.25°, β = 90.00°, γ = 90.00°
Fractional coordinates of all 20 atoms:
Ac (0.750, 0.051, 0.699)
Ac (0.250, 0.949, 0.301)
Dy (0.750, 0.444, 0.836)
Dy (0.250, 0.556, 0.164)
Dy (0.750, 0.679, 0.500)
Dy (0.250, 0.321, 0.500)
Dy (0.750, 0.156, 0.086)
Dy (0.250, 0.844, 0.914)
Te (0.750, 0.483, 0.615)
Te (0.250, 0.517, 0.385)
Te (0.750, 0.914, 0.090)
Te (0.250, 0.086, 0.910)
Te (0.750, 0.389, 0.055)
Te (0.250, 0.611, 0.945)
Te (0.750, 0.731, 0.272)
Te (0.250, 0.269, 0.728)
Te (0.750, 0.124, 0.468)
Te (0.250, 0.876, 0.532)
Te (0.750, 0.799, 0.750)
Te (0.250, 0.201, 0.250)

---

Entry 9:
Tm2Mn2B2C | PBE | relaxed

- N(E_F) (states/eV per cell) = 4.4
- space group = C2/m (12)
- formation energy from the elements (eV per atom) = -0.435

a = 3.486 Å, b = 5.353 Å, c = 5.636 Å
α = 70.57°, β = 71.98°, γ = 71.00°
Fractional coordinates of all 7 atoms:
Tm (0.570, 0.182, 0.679)
Tm (0.430, 0.818, 0.321)
Mn (0.206, 0.677, 0.911)
Mn (0.794, 0.323, 0.089)
B (0.177, 0.381, 0.264)
B (0.823, 0.619, 0.736)
C (0.000, 0.000, 0.000)

---

Entry 10:
Ho3Cd2Pt3 | PBE | relaxed

- N(E_F) (states/eV per cell) = 6.7
- space group = P6_3/mcm (193)
- formation energy from the elements (eV per atom) = -0.942

a = 5.739 Å, b = 8.471 Å, c = 8.471 Å
α = 120.00°, β = 90.00°, γ = 90.00°
Fractional coordinates of all 16 atoms:
Ho (0.750, 0.280, 0.000)
Ho (0.750, 0.720, 0.720)
Ho (0.750, 0.000, 0.280)
Ho (0.250, 0.720, 0.000)
Ho (0.250, 0.280, 0.280)
Ho (0.250, 0.000, 0.720)
Cd (0.000, 0.333, 0.667)
Cd (0.500, 0.667, 0.333)
Cd (0.000, 0.667, 0.333)
Cd (0.500, 0.333, 0.667)
Pt (0.750, 0.625, 0.000)
Pt (0.750, 0.375, 0.375)
Pt (0.750, 0.000, 0.625)
Pt (0.250, 0.375, 0.000)
Pt (0.250, 0.625, 0.625)
Pt (0.250, 0.000, 0.375)

---

Entry 11:
La4CoAs | PBE | relaxed

- N(E_F) (states/eV per cell) = 10.2
- space group = F-43m (216)
- formation energy from the elements (eV per atom) = 0.516

a = 6.274 Å, b = 6.274 Å, c = 6.274 Å
α = 60.00°, β = 60.00°, γ = 60.00°
Site moments in Bohr magnetons follow the coordinates.
Fractional coordinates of all 6 atoms:
La (0.874, 0.375, 0.375)  0.03
La (0.375, 0.375, 0.874)  0.03
La (0.375, 0.874, 0.375)  0.03
La (0.375, 0.375, 0.375)  0.03
Co (0.000, 0.000, 0.000)  -1.81
As (0.750, 0.750, 0.750)  -0.01

---

Entry 12:
GaH3 | PBE | relaxed

- N(E_F) (states/eV per cell) = 0.8
- space group = Cm (8)

a = 3.236 Å, b = 3.250 Å, c = 9.182 Å
α = 90.00°, β = 109.44°, γ = 90.00°
Fractional coordinates of all 8 atoms:
Ga (0.348, 0.000, 0.886)
Ga (0.348, 0.500, 0.386)
H (0.516, 0.000, 0.066)
H (0.516, 0.500, 0.566)
H (0.280, 0.000, 0.315)
H (0.280, 0.500, 0.815)
H (0.778, 0.000, 0.813)
H (0.778, 0.500, 0.313)

---

It is found that the final energy values, taken in the order of the records, are -0.43633 -0.26895 -0.58883 -0.36622 -0.57261 -0.34971 -0.29744 -0.37694 -0.55551 -0.37874 -0.34755 -0.22353 Ry per atom.
It is found that the total magnetic moment values, taken in the order of the records, are 0.00 0.00 0.00 0.00 0.00 0.00 0.00 0.00 0.00 0.00 0.23 0.00 μB per atom.
It is found that the volume values, taken in the order of the records, are 114 162 68 51 374 88 611 691 91 357 175 91 Å³ per cell.